# 1
Li2Ti2O5: PBEsol geometry, meta-GGA SCAN.

abc: 5.1970 6.1109 8.3761
angles: 111.39 90.00 90.00
Positions (direct):
Li: 0.3567 0.7038 0.1095
Li: 0.8567 0.5943 0.8905
Li: 0.3567 0.2962 0.8905
Li: 0.8567 0.4057 0.1095
Ti: 0.3607 0.7012 0.7168
Ti: 0.8607 0.9845 0.2832
Ti: 0.8607 0.0155 0.7168
Ti: 0.3607 0.2988 0.2832
O: 0.4307 0.5000 0.5000
O: 0.9773 0.7218 0.1330
O: 0.4773 0.5888 0.8670
O: 0.0126 0.2380 0.2464
O: 0.5126 0.9915 0.7536
O: 0.5126 0.0085 0.2464
O: 0.0126 0.7620 0.7536
O: 0.9773 0.2782 0.8670
O: 0.4773 0.4112 0.1330
O: 0.9307 0.0000 0.5000

Values from the calculation:
energy above the most stable polymorph in this dataset: 0.000 eV per atom
DOS(E_F): 0.000 states/eV/cell
formation energy from raw total energies: -2.9443 eV per atom
volume: 247.68 Å³/cell


# 2
LaAsAu: PBEsol geometry, meta-GGA SCAN.

abc: 4.1536 4.3812 4.3812
angles: 120.00 90.00 90.00
Positions (direct):
As: 0.8657 0.0000 0.0000
Au: 0.7989 0.6667 0.3333
La: 0.3354 0.3333 0.6667

Values from the calculation:
DOS(E_F): 1.767 states/eV/cell
energy of formation: -1.2250 eV per atom
volume: 69.05 Å³/cell


# 3
SrTlRe2: PBEsol geometry, meta-GGA SCAN.

abc: 2.7758 5.4478 5.8780
angles: 116.03 100.84 95.96
Positions (direct):
Re: 0.0000 0.0000 0.5000
Re: 0.5000 0.5000 0.5000
Sr: 0.5000 0.0000 0.0000
Tl: 0.0000 0.5000 0.0000

Values from the calculation:
energy above the most stable polymorph in this dataset: 0.382 eV per atom
DOS(E_F): 3.038 states/eV/cell
energy of formation: 1.2237 eV per atom
volume: 76.68 Å³/cell


# 4
Tl2PtPb: PBEsol geometry, meta-GGA SCAN.

abc: 5.0902 5.0902 5.0902
angles: 60.00 60.00 60.00
Positions (direct):
Pb: 0.0000 0.0000 0.0000
Pt: 0.5000 0.5000 0.5000
Tl: 0.2500 0.2500 0.2500
Tl: 0.7500 0.7500 0.7500

Values from the calculation:
energy above the most stable polymorph in this dataset: 0.346 eV per atom
DOS(E_F): 2.784 states/eV/cell
energy of formation: 0.2764 eV per atom
volume: 93.26 Å³/cell


Q: The lowest DOS(E_F) belongs to which entry?
A: Li2Ti2O5


Q: Which value of DOS(E_F) does entry 4 give?
A: 2.784 states/eV/cell